1.
## CaAc2Tl9 (GGA-PBE)

Data for CaAc2Tl9 after structural relaxation.

## Properties
calculated volume	30.518	Å³ per atom
M_tot	0.000	μB/atom
space group	P4/mmm, No. 123
energy of formation	-0.287	eV per atom
crystal system	tetragonal
calculated total energy	-2.91	eV/atom

```
CaAc2Tl9
1.0
-1.023 4.274 2.319
-4.827 -0.606 -1.014
-1.759 -7.345 12.762
Ac Tl Ca
2 9 1
Direct
0.000 0.000 0.329
0.000 0.000 0.671
0.500 0.000 0.500
0.500 0.500 0.667
0.000 0.500 0.500
0.500 0.000 0.159
0.000 0.500 0.841
0.500 0.500 0.000
0.000 0.500 0.159
0.500 0.500 0.333
0.500 0.000 0.841
0.000 0.000 0.000
```

=====

2.
## Ca2AcTl (GGA-PBE)

Data for Ca2AcTl after structural relaxation.

## Properties
calculated volume	37.394	Å³ per atom
M_tot	0.000	μB/atom
space group	P2_1/m, No. 11
E above lowest polymorph	0	meV per atom
energy of formation	-0.206	eV per atom
crystal system	monoclinic
calculated total energy	-2.83	eV/atom

```
Ca2AcTl
1.0
5.126 0.000 0.000
0.000 4.977 -1.166
0.000 0.116 11.699
Ac Ca Tl
2 4 2
Direct
0.750 0.698 0.397
0.250 0.302 0.603
0.750 0.434 0.867
0.750 0.066 0.132
0.250 0.934 0.868
0.250 0.566 0.133
0.250 0.156 0.314
0.750 0.844 0.686
```

=====

3.
## Ca2AcTl (GGA-PBE)

Data for Ca2AcTl after structural relaxation.

## Properties
calculated volume	37.832	Å³ per atom
M_tot	0.000	μB/atom
space group	R3m, No. 160
E above lowest polymorph	79	meV per atom
energy of formation	-0.127	eV per atom
crystal system	trigonal
calculated total energy	-2.75	eV/atom

```
Ca2AcTl
1.0
3.904 0.000 0.000
1.952 3.381 0.000
1.952 1.127 11.468
Tl Ca Ac
1 2 1
Direct
0.666 0.666 0.001
0.071 0.071 0.788
0.262 0.262 0.213
0.501 0.501 0.498
```

=====

4.
## Ca2Ac2Tl7 (GGA-PBE)

Data for Ca2Ac2Tl7 after structural relaxation.

## Properties
calculated volume	37.055	Å³ per atom
M_tot	0.000	μB/atom
space group	Cmmm, No. 65
energy of formation	-0.012	eV per atom
crystal system	orthorhombic
calculated total energy	-2.63	eV/atom

```
Ca2Ac2Tl7
1.0
7.096 -0.003 -0.711
0.004 8.298 0.003
-1.152 -0.003 7.038
Tl Ac Ca
7 2 2
Direct
0.000 0.000 0.000
0.500 0.310 0.000
0.500 0.694 0.500
0.500 0.306 0.500
0.000 0.690 0.500
0.000 0.310 0.500
0.500 0.690 0.000
0.307 0.000 0.693
0.693 0.000 0.307
0.195 0.500 0.195
0.805 0.500 0.805
```

=====

5.
## Ca3Ac3Tl4 (GGA-PBE)

Data for Ca3Ac3Tl4 after structural relaxation.

## Properties
calculated volume	35.866	Å³ per atom
M_tot	0.000	μB/atom
space group	Amm2, No. 38
energy of formation	-0.331	eV per atom
crystal system	orthorhombic
calculated total energy	-3.11	eV/atom

```
Ca3Ac3Tl4
1.0
-1.345 -4.046 -1.918
6.245 0.809 -6.087
5.635 -4.309 5.138
Ac Ca Tl
3 3 4
Direct
0.500 0.663 0.671
0.500 0.329 0.337
0.500 0.835 0.165
0.500 0.167 0.833
0.000 0.000 0.502
0.000 0.498 0.000
0.000 0.362 0.638
0.000 0.633 0.367
0.000 0.135 0.122
0.000 0.878 0.865
```

=====

6.
## CaAc4Tl2 (GGA-PBE)

Data for CaAc4Tl2 after structural relaxation.

## Properties
calculated volume	39.834	Å³ per atom
M_tot	0.000	μB/atom
space group	P1, No. 1
energy of formation	-0.087	eV per atom
crystal system	triclinic
calculated total energy	-3.40	eV/atom

```
CaAc4Tl2
1.0
7.872 -0.017 0.361
-0.319 11.667 -2.760
-3.332 -8.303 7.874
Ac Tl Ca
8 4 2
Direct
0.868 0.153 0.718
0.105 0.879 0.355
0.339 0.626 0.697
0.836 0.174 0.271
0.432 0.543 0.172
0.499 0.990 0.774
0.362 0.081 0.279
0.835 0.616 0.815
0.643 0.833 0.185
0.551 0.338 0.782
0.178 0.445 0.791
0.577 0.476 0.399
0.949 0.553 0.329
0.076 0.041 0.934
```

=====

7.
## Ca2AcTl2 (GGA-PBE)

Data for Ca2AcTl2 after structural relaxation.

## Properties
calculated volume	34.054	Å³ per atom
M_tot	0.127	μB/atom
space group	Cmcm, No. 63
E above lowest polymorph	0	meV per atom
energy of formation	-0.307	eV per atom
crystal system	orthorhombic
calculated total energy	-2.88	eV/atom

```
Ca2AcTl2
1.0
4.005 0.000 -0.537
0.000 5.757 0.000
-0.059 0.000 14.778
Tl Ca Ac
4 4 2
Direct
0.457 0.750 0.914
0.543 0.250 0.086
0.352 0.250 0.704
0.648 0.750 0.296
0.236 0.750 0.472
0.952 0.250 0.904
0.764 0.250 0.528
0.048 0.750 0.096
0.142 0.250 0.284
0.858 0.750 0.716
```

=====

8.
## Ca2AcTl5 (GGA-PBE)

Data for Ca2AcTl5 after structural relaxation.

## Properties
calculated volume	30.727	Å³ per atom
M_tot	0.000	μB/atom
space group	I4/mmm, No. 139
energy of formation	-0.332	eV per atom
crystal system	tetragonal
calculated total energy	-2.83	eV/atom

```
Ca2AcTl5
1.0
5.170 0.000 -1.421
-0.391 5.155 -1.421
-0.210 -0.227 9.349
Ca Tl Ac
2 5 1
Direct
0.748 0.748 0.496
0.252 0.252 0.504
0.867 0.367 0.735
0.500 0.500 0.000
0.633 0.133 0.265
0.367 0.867 0.735
0.133 0.633 0.265
0.000 0.000 0.000
```

=====

Q: Which formula does entry 4 have?
A: Ca2Ac2Tl7